Record 1
# TlCu2Ag (PBE, relaxed)
# * density of states at the Fermi level: 0.96 states/eV/cell
# * E above lowest polymorph: 0.1114 eV/atom
# * magnetization: 0.0 μB per formula unit
# * crystal system: monoclinic
# * ΔE_f: 1.2 eV/f.u.
data_TlCu2Ag
_cell_length_a 4.500
_cell_length_b 3.340
_cell_length_c 4.746
_cell_angle_alpha 90.00
_cell_angle_beta 105.27
_cell_angle_gamma 90.00
_symmetry_space_group_name_H-M 'P 1 2/m 1'
_symmetry_Int_Tables_number 10
loop_
_symmetry_equiv_pos_as_xyz
'x,y,z'
'-x,-y,-z'
'-x,y,-z'
'x,-y,z'
loop_
_atom_site_label
_atom_site_type_symbol
_atom_site_fract_x
_atom_site_fract_y
_atom_site_fract_z
Tl1 Tl 0.000 0.000 0.000
Cu1 Cu 0.500 0.000 0.500
Cu2 Cu 0.500 0.500 0.000
Ag1 Ag 0.000 0.500 0.500


Record 2
# TaTi2Be (PBE, relaxed)
# * density of states at the Fermi level: 10.13 states/eV/cell
# * E above lowest polymorph: 0.1738 eV/atom
# * magnetization: 0.0 μB per formula unit
# * crystal system: trigonal
# * ΔE_f: 0.7 eV/f.u.
data_TaTi2Be
_cell_length_a 2.9149
_cell_length_b 2.9149
_cell_length_c 25.9353
_cell_angle_alpha 90.00
_cell_angle_beta 90.00
_cell_angle_gamma 120.00
_symmetry_space_group_name_H-M 'R 3 m'
_symmetry_Int_Tables_number 160
_symmetry_space_group_name_Hall 'R 3 -2"'
loop_
_atom_site_label
_atom_site_type_symbol
_atom_site_fract_x
_atom_site_fract_y
_atom_site_fract_z
Ta1 Ta 0.0000 0.0000 0.0000
Ti1 Ti 0.0000 0.0000 0.5732
Ti2 Ti 0.0000 0.0000 0.7605
Be1 Be 0.0000 0.0000 0.1670


Record 3
# Cs3CoI (PBE, relaxed)
# * density of states at the Fermi level: 3.39 states/eV/cell
# * magnetization: 1.0 μB per formula unit
# * crystal system: cubic
# * formation energy (no corrections): 7 kJ per mole of atoms
data_Cs3CoI
_cell_length_a 6.157
_cell_length_b 6.157
_cell_length_c 6.157
_cell_angle_alpha 90.00
_cell_angle_beta 90.00
_cell_angle_gamma 90.00
_symmetry_space_group_name_H-M 'P m -3 m'
_symmetry_Int_Tables_number 221
_symmetry_space_group_name_Hall '-P 4 2 3'
loop_
_atom_site_label
_atom_site_type_symbol
_atom_site_fract_x
_atom_site_fract_y
_atom_site_fract_z
Cs1 Cs 0.000 0.000 0.500
Co1 Co 0.000 0.000 0.000
I1 I 0.500 0.500 0.500